[1]
! Na2Cu2Si4O11, optimized geometry, DFT PBE; values from VASP
&SYSTEM
  ibrav = 0, nat = 19, ntyp = 4
/
ATOMIC_SPECIES
Na 22.99 Na.upf
Si 28.09 Si.upf
O 16.00 O.upf
Cu 63.55 Cu.upf
ATOMIC_POSITIONS angstrom
Na -2.2035 0.3294 4.1441
Na 3.9245 -3.0727 5.4685
Si 4.3108 -0.4023 3.6918
Si 2.9328 -0.0220 6.4400
Si -2.5899 -2.3410 5.9208
Si -1.2118 -2.7214 3.1726
O -2.3750 -3.8003 2.7100
O 0.5308 -2.6571 8.6010
O 2.6256 -1.0901 7.5963
O -0.9046 -1.6533 2.0163
O 4.0960 1.0569 6.9026
O 0.1814 -3.5954 3.4292
O 3.3582 0.2470 2.5518
O 1.1902 -0.0863 1.0116
O -1.6335 -1.9910 4.6027
O 3.3545 -0.7523 5.0098
O 1.5396 0.8520 6.1834
Cu -0.6992 0.1844 1.4475
Cu 2.4202 -2.9277 8.1651
CELL_PARAMETERS angstrom
-3.2859 2.7215 3.0379
-1.7095 -5.9588 1.4709
6.7164 0.4940 5.1037
! Total DFT energy (no corrections), eV per cell: -128.1
! Volume, Å³/cell: 272.0
! Formation energy from raw total energies, kJ/mol of formula units: -3955

=====

[2]
! TbZrIrRu, optimized geometry, DFT PBE; values from VASP
&SYSTEM
  ibrav = 0, nat = 4, ntyp = 4
/
ATOMIC_SPECIES
Tb 158.93 Tb.upf
Ir 192.22 Ir.upf
Ru 101.07 Ru.upf
Zr 91.22 Zr.upf
ATOMIC_POSITIONS angstrom
Tb 1.6888 1.6888 0.7153
Ir 0.0000 0.0000 5.5956
Ru 0.0000 0.0000 2.5136
Zr 1.6888 1.6888 4.0520
CELL_PARAMETERS angstrom
3.3775 0.0000 0.0000
0.0000 3.3775 0.0000
0.0000 0.0000 6.6788
! Total DFT energy (no corrections), eV per cell: -34.0
! Volume, Å³/cell: 76.2
! Distance to the lowest polymorph of the same formula, eV per formula unit: 0.000
! Energy of formation, meV per atom: -669

=====

[3]
! PuHfZn2, optimized geometry, DFT PBE; values from VASP
&SYSTEM
  ibrav = 0, nat = 4, ntyp = 3
/
ATOMIC_SPECIES
Zn 65.41 Zn.upf
Hf 178.49 Hf.upf
Pu 244.00 Pu.upf
ATOMIC_POSITIONS angstrom
Zn 0.0000 2.5934 0.0000
Zn 0.0000 0.0000 2.5934
Hf 1.4838 0.0000 0.0000
Pu 1.4838 2.5934 2.5934
CELL_PARAMETERS angstrom
2.9676 0.0000 0.0000
0.0000 5.1868 0.0000
0.0000 0.0000 5.1868
! Total DFT energy (no corrections), eV per cell: -26.9
! Volume, Å³/cell: 79.8
! Distance to the lowest polymorph of the same formula, eV per formula unit: 0.347
! Energy of formation, meV per atom: -24

=====

[4]
! TbPrBi2, optimized geometry, DFT PBE; values from VASP
&SYSTEM
  ibrav = 0, nat = 4, ntyp = 3
/
ATOMIC_SPECIES
Bi 208.98 Bi.upf
Tb 158.93 Tb.upf
Pr 140.91 Pr.upf
ATOMIC_POSITIONS angstrom
Bi 6.8236 3.9678 5.6969
Bi 2.2748 1.3228 1.8028
Tb 0.0000 0.0000 0.0000
Pr 4.5492 2.6453 3.7498
CELL_PARAMETERS angstrom
4.5691 0.0112 0.0189
2.2697 3.9655 0.0189
2.2596 1.3139 7.4618
! Total DFT energy (no corrections), eV per cell: -20.8
! Volume, Å³/cell: 134.8
! Distance to the lowest polymorph of the same formula, eV per formula unit: 0.000
! Energy of formation, meV per atom: -917

=====

[5]
! Tm12Pt6Pb, optimized geometry, DFT PBE; values from VASP
&SYSTEM
  ibrav = 0, nat = 19, ntyp = 3
/
ATOMIC_SPECIES
Tm 168.93 Tm.upf
Pt 195.08 Pt.upf
Pb 207.20 Pb.upf
ATOMIC_POSITIONS angstrom
Tm 2.5408 -2.8855 -4.8327
Tm 1.4879 -3.1068 0.2647
Tm 1.2363 -5.4613 -2.6042
Tm -0.6741 -6.0863 0.7996
Tm -0.4748 -0.6775 -6.1198
Tm 4.4347 -3.8674 -1.8743
Tm 4.5035 -5.3147 1.5518
Tm 4.7027 0.0940 -5.3676
Tm -2.1037 -5.3435 -4.2375
Tm 6.1324 -0.6487 -0.3305
Tm 2.7924 -0.5309 -1.9638
Tm -0.4060 -2.1248 -2.6937
Pt 5.0983 -1.2075 -3.0892
Pt 4.4278 -2.5380 0.4222
Pt -0.3992 -3.4543 -4.9903
Pt 2.2352 -5.6525 0.2167
Pt 1.7935 -0.3397 -4.7847
Pt -1.0697 -4.7848 -1.4789
Pb 0.0000 0.0000 0.0000
CELL_PARAMETERS angstrom
-3.4980 -0.4815 -7.7805
8.2660 2.0412 -0.7149
-0.7394 -7.5520 3.9274
! Total DFT energy (no corrections), eV per cell: -110.5
! Volume, Å³/cell: 480.2
! Energy of formation, meV per atom: -891

=====

[6]
! ScAsRu2, optimized geometry, DFT PBE; values from VASP
&SYSTEM
  ibrav = 0, nat = 4, ntyp = 3
/
ATOMIC_SPECIES
Sc 44.96 Sc.upf
Ru 101.07 Ru.upf
As 74.92 As.upf
ATOMIC_POSITIONS angstrom
Sc 2.1357 1.0403 -0.8077
Ru 2.0784 0.2770 1.9022
Ru 4.2897 2.0895 -1.6224
As 4.3355 1.3764 1.0485
CELL_PARAMETERS angstrom
-0.1362 2.0101 2.2287
2.1284 -2.5105 2.3944
4.3389 2.1134 -1.6410
! Total DFT energy (no corrections), eV per cell: -30.8
! Volume, Å³/cell: 62.3
! Energy of formation, meV per atom: -311

=====

[7]
! CaScAl, optimized geometry, DFT PBE; values from VASP
&SYSTEM
  ibrav = 0, nat = 6, ntyp = 3
/
ATOMIC_SPECIES
Sc 44.96 Sc.upf
Al 26.98 Al.upf
Ca 40.08 Ca.upf
ATOMIC_POSITIONS angstrom
Sc -0.4946 -1.3803 4.7740
Sc -2.8303 0.7940 3.9769
Al -0.3828 -0.2102 2.0697
Al -5.2799 1.7786 5.9306
Ca -5.1557 3.0787 2.9258
Ca -2.9562 -0.5202 7.0164
CELL_PARAMETERS angstrom
-5.0424 0.4844 0.0009
-0.2573 -2.6895 6.2183
-2.1362 4.2477 1.7488
! Total DFT energy (no corrections), eV per cell: -25.2
! Volume, Å³/cell: 150.7
! Distance to the lowest polymorph of the same formula, eV per formula unit: 0.041
! Energy of formation, meV per atom: -169

=====

[8]
! Ca2CdIn2Hg7, optimized geometry, DFT PBE; values from VASP
&SYSTEM
  ibrav = 0, nat = 12, ntyp = 4
/
ATOMIC_SPECIES
Cd 112.41 Cd.upf
Hg 200.59 Hg.upf
In 114.82 In.upf
Ca 40.08 Ca.upf
ATOMIC_POSITIONS angstrom
Cd 0.0000 0.0000 0.0000
Hg 2.3957 2.3928 0.4074
Hg 3.7636 6.1869 12.4719
Hg 4.6164 2.1828 2.6595
Hg 5.3916 5.3851 7.7784
Hg 2.1885 4.6137 2.6595
Hg 6.1915 3.7560 12.4719
Hg 2.9883 2.9847 7.3530
In 6.3571 6.3494 10.5465
In 2.0228 2.0203 4.5850
Ca 3.9562 3.9514 10.1952
Ca 4.4237 4.4183 4.9362
CELL_PARAMETERS angstrom
4.8151 -0.0295 0.4074
-0.0236 4.8151 0.4074
3.5884 3.5841 14.3166
! Total DFT energy (no corrections), eV per cell: -14.8
! Volume, Å³/cell: 317.8
! Energy of formation, meV per atom: -189

=====

[9]
! Ba2Al2Tl, optimized geometry, DFT PBE; values from VASP
&SYSTEM
  ibrav = 0, nat = 5, ntyp = 3
/
ATOMIC_SPECIES
Ba 137.33 Ba.upf
Tl 204.38 Tl.upf
Al 26.98 Al.upf
ATOMIC_POSITIONS angstrom
Ba -0.2789 -3.5196 -1.0562
Ba -1.6647 -10.1371 -0.2209
Tl 0.0000 0.0000 0.0000
Al 0.3365 -7.0519 -0.2392
Al -2.2801 -6.6048 -1.0380
CELL_PARAMETERS angstrom
-2.1873 -1.0901 -3.0654
3.0459 -1.9844 -1.4678
-2.8022 -10.5822 3.2560
! Total DFT energy (no corrections), eV per cell: -14.1
! Volume, Å³/cell: 170.3
! Energy of formation, meV per atom: -75

=====

[10]
! Li7VP4, optimized geometry, DFT PBE; values from VASP
&SYSTEM
  ibrav = 0, nat = 24, ntyp = 3
/
ATOMIC_SPECIES
P 30.97 P.upf
Li 6.94 Li.upf
V 50.94 V.upf
ATOMIC_POSITIONS angstrom
P -0.6947 -8.2687 -5.8137
P 2.1657 -2.3056 -7.2272
P 2.5871 -3.8915 -2.7035
P 0.1898 -1.0373 -0.3735
P 2.0410 -5.7994 -3.8837
P 0.9733 -6.9120 -8.6251
P -0.3156 -5.1168 -8.9881
P -0.7701 -8.5511 -0.8896
Li 1.6917 -3.2329 -0.4059
Li 2.3536 -1.3827 -2.1521
Li -1.2403 -8.3705 -3.3830
Li -0.4411 -6.1188 -4.7161
Li 0.0289 -2.4033 -2.6546
Li 1.9734 -4.6904 -7.8686
Li -0.2329 -3.4205 -7.0549
Li -0.0027 -0.9301 -6.7225
Li 0.2405 -5.0160 -2.4290
Li -1.2109 -6.8530 -7.5792
Li 2.6122 -0.8032 -5.3387
Li 2.1271 -3.5386 -5.0945
Li 1.3705 -8.4433 -2.0063
Li 1.5593 -7.3861 -6.2103
V 2.7812 -6.2008 -1.4987
V 1.9517 0.1049 -8.4697
CELL_PARAMETERS angstrom
4.5501 0.0271 -0.6671
-2.0491 -9.2953 0.3126
-0.7956 0.4065 -8.9440
! Total DFT energy (no corrections), eV per cell: -98.8
! Volume, Å³/cell: 382.7
! Energy of formation, meV per atom: -436

=====

[11]
! KHgAu2, optimized geometry, DFT PBE; values from VASP
&SYSTEM
  ibrav = 0, nat = 8, ntyp = 3
/
ATOMIC_SPECIES
Au 196.97 Au.upf
K 39.10 K.upf
Hg 200.59 Hg.upf
ATOMIC_POSITIONS angstrom
Au -6.0885 -6.2764 -0.1160
Au -8.5970 -5.5663 0.4838
Au -5.9133 -1.0906 0.4427
Au -6.6331 -1.4819 -2.1039
K -3.2311 0.3206 -1.9418
K -5.0244 -4.7047 -3.4730
Hg 0.0000 0.0000 0.0000
Hg -6.8080 -3.6038 -0.3233
CELL_PARAMETERS angstrom
-5.0147 1.4215 1.2078
-1.4475 -0.7804 -5.0914
-5.3702 -8.9497 0.0873
! Total DFT energy (no corrections), eV per cell: -17.2
! Volume, Å³/cell: 278.5
! Energy of formation, meV per atom: -160

=====

[12]
! BaAc2Pa, optimized geometry, DFT PBE; values from VASP
&SYSTEM
  ibrav = 0, nat = 4, ntyp = 3
/
ATOMIC_SPECIES
Pa 231.04 Pa.upf
Ac 227.00 Ac.upf
Ba 137.33 Ba.upf
ATOMIC_POSITIONS angstrom
Pa 0.0000 0.0000 0.0000
Ac 1.8263 1.0544 10.5213
Ac 5.4788 3.1632 3.3383
Ba 3.6525 2.1088 6.9298
CELL_PARAMETERS angstrom
3.6525 0.0000 0.0000
1.8263 3.1632 0.0000
1.8263 1.0544 13.8597
! Total DFT energy (no corrections), eV per cell: -17.1
! Volume, Å³/cell: 160.1
! Energy of formation, meV per atom: 628

=====

[13]
! TaTi2CdAg, optimized geometry, DFT PBE; values from VASP
&SYSTEM
  ibrav = 0, nat = 5, ntyp = 4
/
ATOMIC_SPECIES
Ti 47.87 Ti.upf
Ta 180.95 Ta.upf
Ag 107.87 Ag.upf
Cd 112.41 Cd.upf
ATOMIC_POSITIONS angstrom
Ti -1.1096 1.4970 1.5369
Ti 0.7454 -1.3535 1.8565
Ta -2.3914 -1.1937 3.2324
Ag 0.0000 0.0000 0.0000
Cd -2.0272 -1.3372 -0.1610
CELL_PARAMETERS angstrom
-2.2191 2.9940 3.0738
-4.0544 -2.6745 -0.3220
1.4907 -2.7070 3.7131
! Total DFT energy (no corrections), eV per cell: -24.6
! Volume, Å³/cell: 113.6
! Energy of formation, meV per atom: 1369

=====

[14]
! RbTb4Te6, optimized geometry, DFT PBE; values from VASP
&SYSTEM
  ibrav = 0, nat = 22, ntyp = 3
/
ATOMIC_SPECIES
Tb 158.93 Tb.upf
Te 127.60 Te.upf
Rb 85.47 Rb.upf
ATOMIC_POSITIONS angstrom
Tb 6.4617 -1.8058 0.0267
Tb 12.8567 -9.3075 16.9532
Tb 5.9186 -3.3586 8.5948
Tb 6.3187 -6.4835 11.9137
Tb 9.0415 -6.5221 8.2934
Tb 2.1035 -0.5732 -0.0650
Tb 8.4984 -8.0749 16.8614
Tb 8.6415 -3.3972 4.9744
Te 6.7155 -5.5004 6.4151
Te 6.8374 -2.4733 2.8565
Te -0.5869 -2.1065 -0.4190
Te 11.2858 -6.6007 17.3762
Te 8.2446 -4.3803 10.4731
Te 11.2734 -7.4926 10.0461
Te 13.0186 -8.7668 14.0077
Te 3.6868 -2.3881 6.8420
Te 8.1227 -7.4074 14.0317
Te 3.6743 -3.2800 -0.4881
Te 3.9385 -5.4105 9.8531
Te 1.9415 -1.1139 2.8805
Rb 3.7862 -4.1373 3.6655
Rb 11.1739 -5.7434 13.2227
CELL_PARAMETERS angstrom
-1.1739 -4.2129 -0.8379
7.0832 0.9402 -2.8181
9.0508 -6.6080 20.5442
! Total DFT energy (no corrections), eV per cell: -106.3
! Volume, Å³/cell: 766.0
! Formation energy from raw total energies, kJ/mol of formula units: -1431

=====

[15]
! LiCaRh2, optimized geometry, DFT PBE; values from VASP
&SYSTEM
  ibrav = 0, nat = 4, ntyp = 3
/
ATOMIC_SPECIES
Ca 40.08 Ca.upf
Rh 102.91 Rh.upf
Li 6.94 Li.upf
ATOMIC_POSITIONS angstrom
Ca 2.2768 2.3115 0.0000
Rh -0.0094 2.2864 1.6112
Rh 0.0000 0.0000 0.0000
Li 2.2863 0.0251 1.6112
CELL_PARAMETERS angstrom
4.5725 0.0503 0.0000
-0.0189 4.5728 0.0000
-2.2768 -2.3115 3.2223
! Total DFT energy (no corrections), eV per cell: -19.0
! Volume, Å³/cell: 67.4
! Energy of formation, meV per atom: -88

=====

[16]
! Re2PbBr, optimized geometry, DFT PBE; values from VASP
&SYSTEM
  ibrav = 0, nat = 4, ntyp = 3
/
ATOMIC_SPECIES
Re 186.21 Re.upf
Br 79.90 Br.upf
Pb 207.20 Pb.upf
ATOMIC_POSITIONS angstrom
Re 0.0000 0.0000 0.1440
Re 0.0000 0.0000 3.1544
Br 1.6449 1.6449 1.6492
Pb 1.6449 1.6449 4.9476
CELL_PARAMETERS angstrom
3.2898 0.0000 0.0000
0.0000 3.2898 0.0000
0.0000 0.0000 6.5967
! Total DFT energy (no corrections), eV per cell: -24.1
! Volume, Å³/cell: 71.4
! Distance to the lowest polymorph of the same formula, eV per formula unit: 4.908
! Formation energy from raw total energies, kJ/mol of formula units: 592

=====

[17]
! Li2NbGa2, optimized geometry, DFT PBE; values from VASP
&SYSTEM
  ibrav = 0, nat = 5, ntyp = 3
/
ATOMIC_SPECIES
Ga 69.72 Ga.upf
Nb 92.91 Nb.upf
Li 6.94 Li.upf
ATOMIC_POSITIONS angstrom
Ga 1.8026 1.8026 1.2116
Ga 3.6052 3.6052 4.8763
Nb 0.0000 0.0000 0.0000
Li 3.6052 1.8026 3.0440
Li 1.8026 3.6052 3.0440
CELL_PARAMETERS angstrom
3.6052 0.0000 0.0000
0.0000 3.6052 0.0000
1.8026 1.8026 6.0879
! Total DFT energy (no corrections), eV per cell: -20.5
! Volume, Å³/cell: 79.1
! Distance to the lowest polymorph of the same formula, eV per formula unit: 0.211
! Energy of formation, meV per atom: -104

=====

[18]
! LiBIO2, optimized geometry, DFT PBE; values from VASP
&SYSTEM
  ibrav = 0, nat = 5, ntyp = 4
/
ATOMIC_SPECIES
O 16.00 O.upf
B 10.81 B.upf
I 126.90 I.upf
Li 6.94 Li.upf
ATOMIC_POSITIONS angstrom
O 1.6550 0.0000 0.0000
O 0.0000 1.6550 0.0000
B 0.0000 0.0000 0.0000
I 0.0000 0.0000 3.5029
Li 1.6550 1.6550 3.5029
CELL_PARAMETERS angstrom
3.3100 0.0000 0.0000
0.0000 3.3100 0.0000
0.0000 0.0000 7.0058
! Total DFT energy (no corrections), eV per cell: -21.7
! Volume, Å³/cell: 76.8
! Distance to the lowest polymorph of the same formula, eV per formula unit: 0.000
! Formation energy from raw total energies, kJ/mol of formula units: -163

=====

[19]
! Y2TaMo, optimized geometry, DFT PBE; values from VASP
&SYSTEM
  ibrav = 0, nat = 4, ntyp = 3
/
ATOMIC_SPECIES
Y 88.91 Y.upf
Ta 180.95 Ta.upf
Mo 95.94 Mo.upf
ATOMIC_POSITIONS angstrom
Y 6.5715 2.4796 4.8454
Y 8.0288 3.0295 0.3287
Ta 2.1082 0.7955 2.1307
Mo 4.3573 1.6441 3.1542
CELL_PARAMETERS angstrom
4.6150 -0.0009 -0.0064
3.4640 3.0493 -0.0064
0.5789 0.2184 6.9941
! Total DFT energy (no corrections), eV per cell: -34.0
! Volume, Å³/cell: 98.5
! Distance to the lowest polymorph of the same formula, eV per formula unit: 1.109
! Energy of formation, meV per atom: 414

=====

[20]
! Na5SrH7, optimized geometry, DFT PBE; values from VASP
&SYSTEM
  ibrav = 0, nat = 26, ntyp = 3
/
ATOMIC_SPECIES
Na 22.99 Na.upf
H 1.01 H.upf
Sr 87.62 Sr.upf
ATOMIC_POSITIONS angstrom
Na 1.7255 0.5215 2.8652
Na 1.7400 2.4953 11.0729
Na -0.0054 3.0918 8.2121
Na 1.7398 2.4862 17.8506
Na -0.0001 -0.0194 19.2781
Na -0.0055 3.1006 1.4341
Na 0.0000 -0.0077 9.6392
Na 0.0083 5.0705 12.5100
Na 0.0081 5.0650 16.4193
Na 1.7257 0.5161 6.7745
H 1.7298 4.5675 2.2586
H 0.0044 1.0259 11.8946
H -0.0046 5.1001 4.8250
H 0.0012 4.0867 10.3328
H 1.7387 3.3913 15.8210
H -0.0047 2.1942 3.4635
H 1.7331 1.5104 0.6907
H 1.7388 3.3957 13.1045
H 0.0010 4.0763 18.5937
H 0.0042 1.0184 17.0260
H 1.7386 0.4853 14.4593
H -0.0046 2.1894 6.1806
H 1.7299 4.5598 7.3894
H 1.7332 1.5002 8.9523
Sr 0.0039 2.1460 14.4610
Sr 1.7302 3.4395 4.8239
CELL_PARAMETERS angstrom
3.4695 -0.0004 0.0000
-1.7354 5.6029 0.0065
0.0000 -0.0227 19.2781
! Total DFT energy (no corrections), eV per cell: -70.3
! Volume, Å³/cell: 374.7

=====

| no. | N(E_F) (states/eV/cell) |
| --- | --- |
| 1 | 0.54 |
| 2 | 1.74 |
| 3 | 8.11 |
| 4 | 0.71 |
| 5 | 20.08 |
| 6 | 3.01 |
| 7 | 1.97 |
| 8 | 4.16 |
| 9 | 3.56 |
| 10 | 5.06 |
| 11 | 2.70 |
| 12 | 7.72 |
| 13 | 6.26 |
| 14 | 5.03 |
| 15 | 4.63 |
| 16 | 4.26 |
| 17 | 2.40 |
| 18 | 1.04 |
| 19 | 4.61 |
| 20 | 0.00 |